# 1
Here is Pm2CdO4 after structural relaxation from Alexandria. Energies are from PBE.

It has space group C2/m (No. 12), with a = 14.142 Å, b = 3.730 Å, c = 10.496 Å, α = 90.00°, β = 123.25° and γ = 90.00°. The asymmetric unit holds Pm at (0.113, 0.000, 0.457), Pm at (0.159, 0.500, 0.811), Cd at (0.141, 0.500, 0.200), O at (0.039, 0.500, 0.288), O at (0.084, 0.000, 0.653), O at (0.202, 0.500, 0.059) and O at (0.245, 0.500, 0.629).

As for the total magnetization: 0.00 Bohr magnetons per cell. Its density of states at the Fermi level is 0.0 states/eV/f.u. For the raw formation energy, the calculation gives -2.694 eV per atom.



# 2
Here is Pm2CdO after structural relaxation from Alexandria. Energies are from PBE.

It has space group Pnma (No. 62), with a = 7.202 Å, b = 5.077 Å, c = 10.557 Å, α = 90.00°, β = 90.00° and γ = 90.00°. The asymmetric unit holds Pm at (0.001, 0.250, 0.105), Pm at (0.210, 0.750, 0.280), Cd at (0.008, 0.750, 0.580) and O at (0.005, 0.250, 0.887).

As for the total magnetization: 0.00 Bohr magnetons per cell. Its density of states at the Fermi level is 1.5 states/eV/f.u. For the raw formation energy, the calculation gives -1.476 eV per atom.



# 3
Here is Pm2CdO2 after structural relaxation from Alexandria. Energies are from PBE.

It has space group I4/mmm (No. 139), with a = 4.119 Å, b = 4.119 Å, c = 12.483 Å, α = 90.00°, β = 90.00° and γ = 90.00°. The asymmetric unit holds Pm at (0.000, 0.000, 0.161), Cd at (0.000, 0.000, 0.500) and O at (0.000, 0.500, 0.250).

As for the total magnetization: 0.00 Bohr magnetons per cell. Its density of states at the Fermi level is 2.0 states/eV/f.u. For the raw formation energy, the calculation gives -2.337 eV per atom.



Copy entry 2 word for word.
Here is Pm2CdO after structural relaxation from Alexandria. Energies are from PBE.

It has space group Pnma (No. 62), with a = 7.202 Å, b = 5.077 Å, c = 10.557 Å, α = 90.00°, β = 90.00° and γ = 90.00°. The asymmetric unit holds Pm at (0.001, 0.250, 0.105), Pm at (0.210, 0.750, 0.280), Cd at (0.008, 0.750, 0.580) and O at (0.005, 0.250, 0.887).

As for the total magnetization: 0.00 Bohr magnetons per cell. Its density of states at the Fermi level is 1.5 states/eV/f.u. For the raw formation energy, the calculation gives -1.476 eV per atom.